Tb3Ga3Au after structural relaxation. Source: Alexandria, functional PBE.

Unit cell a=4.4195 b=5.8249 c=13.6976 alpha=84.73 beta=80.72 gamma=67.71
Fractional coordinates of all 14 atoms:
Tb 0.5366 0.3070 0.6198
Tb 0.4634 0.6930 0.3802
Tb 0.2620 0.2495 0.2266
Tb 0.7380 0.7505 0.7734
Tb 0.3946 0.2856 0.9252
Tb 0.6054 0.7144 0.0748
Ga 0.8717 0.7164 0.5401
Ga 0.1283 0.2836 0.4599
Ga 0.1095 0.8561 0.9248
Ga 0.8905 0.1439 0.0752
Ga 0.9764 0.8212 0.2260
Ga 0.0236 0.1788 0.7740
Au 0.7524 0.1082 0.3871
Au 0.2476 0.8918 0.6129

Calculated values
magnetic moment = 0.0 μB per formula unit
V = 160.90 Å³/f.u.
energy relative to the elements = -0.703 eV per atom